(a)
First-principles (GGA-PBE) data for a geometry-optimized ScTaRh structure, as listed in Alexandria via LeMat-Bulk.

Computed properties:
Total magnetic moment: 0.00 μB per atom

Cell and atoms, written as POSCAR:
```
ScTaRh
1.0
3.062 0.000 0.000
-1.531 2.652 0.000
0.000 0.000 6.673
Sc Ta Rh
1 1 1
Direct
0.000 0.000 0.000
0.667 0.333 0.367
0.333 0.667 0.670
```


(b)
First-principles (GGA-PBE) data for a geometry-optimized ScTaRh structure, as listed in Alexandria via LeMat-Bulk.

Computed properties:
Total magnetic moment: 0.00 μB per atom

Cell and atoms, written as POSCAR:
```
ScTaRh
1.0
4.544 0.000 0.000
-2.272 3.936 0.000
0.000 0.000 2.952
Sc Ta Rh
1 1 1
Direct
0.000 0.000 0.000
0.333 0.667 0.418
0.667 0.333 0.656
```


Which of them is most stable? Easy: (b).


(a)
First-principles (GGA-PBE) data for a geometry-optimized ScTaRh4 structure, as listed in Alexandria via LeMat-Bulk.

Computed properties:
Total magnetic moment: 0.00 μB per atom

Cell and atoms, written as POSCAR:
```
ScTaRh4
1.0
5.140 -1.562 0.000
5.140 1.562 0.000
-1.969 0.000 6.000
Sc Ta Rh
1 1 4
Direct
0.000 0.000 0.000
0.000 0.000 0.500
0.343 0.343 0.183
0.348 0.348 0.661
0.652 0.652 0.339
0.657 0.657 0.817
```


(b)
First-principles (GGA-PBE) data for a geometry-optimized ScTaRh4 structure, as listed in Alexandria via LeMat-Bulk.

Computed properties:
Total magnetic moment: 0.00 μB per atom

Cell and atoms, written as POSCAR:
```
ScTaRh4
1.0
0.000 3.644 3.644
3.644 0.000 3.644
3.644 3.644 0.000
Sc Ta Rh
1 1 4
Direct
0.000 0.000 0.000
0.750 0.750 0.750
0.375 0.375 0.375
0.375 0.375 0.876
0.375 0.876 0.375
0.876 0.375 0.375
```


Which of them is most stable? Easy: (a).


(a)
First-principles (GGA-PBE) data for a geometry-optimized TbScTlRh structure, as listed in Alexandria via LeMat-Bulk.

Computed properties:
Total magnetic moment: 0.00 μB per atom

Cell and atoms, written as POSCAR:
```
TbScTlRh
1.0
3.406 0.000 0.000
0.000 3.406 0.000
0.000 0.000 7.593
Tb Sc Tl Rh
1 1 1 1
Direct
0.000 0.000 0.000
0.000 0.000 0.575
0.500 0.500 0.308
0.500 0.500 0.760
```


(b)
First-principles (GGA-PBE) data for a geometry-optimized TbScTlRh structure, as listed in Alexandria via LeMat-Bulk.

Computed properties:
Total magnetic moment: 0.00 μB per atom

Cell and atoms, written as POSCAR:
```
TbScTlRh
1.0
0.000 3.531 3.531
3.531 0.000 3.531
3.531 3.531 0.000
Tb Sc Tl Rh
1 1 1 1
Direct
0.000 0.000 0.000
0.500 0.500 0.500
0.250 0.250 0.250
0.750 0.750 0.750
```


Which of them is most stable? Easy: (a).


(a)
First-principles (GGA-PBE) data for a geometry-optimized ScTc3Rh structure, as listed in Alexandria via LeMat-Bulk.

Computed properties:
Total magnetic moment: 0.00 μB per atom

Cell and atoms, written as POSCAR:
```
ScTc3Rh
1.0
4.664 0.000 0.000
0.000 4.664 0.000
0.000 0.000 4.664
Sc Tc Rh
1 3 1
Direct
0.000 0.000 0.000
0.000 0.500 0.500
0.500 0.000 0.500
0.500 0.500 0.000
0.500 0.500 0.500
```


(b)
First-principles (GGA-PBE) data for a geometry-optimized ScTc3Rh structure, as listed in Alexandria via LeMat-Bulk.

Computed properties:
Total magnetic moment: 0.00 μB per atom

Cell and atoms, written as POSCAR:
```
ScTc3Rh
1.0
4.487 0.000 0.000
0.000 4.487 0.000
0.000 0.000 4.487
Sc Tc Rh
1 3 1
Direct
0.000 0.000 0.000
0.000 0.000 0.500
0.000 0.500 0.000
0.500 0.000 0.000
0.500 0.500 0.500
```


Which of them is most stable? Easy: (a).


(a)
First-principles (GGA-PBE) data for a geometry-optimized ThScRh structure, as listed in Alexandria via LeMat-Bulk.

Computed properties:
Total magnetic moment: 0.00 μB per atom

Cell and atoms, written as POSCAR:
```
ThScRh
1.0
6.595 0.000 0.000
0.000 6.293 0.000
-5.486 0.000 7.121
Th Sc Rh
4 4 4
Direct
0.215 0.144 0.411
0.215 0.356 0.911
0.785 0.644 0.089
0.785 0.856 0.589
0.293 0.638 0.600
0.293 0.862 0.100
0.707 0.138 0.900
0.707 0.362 0.400
0.290 0.574 0.303
0.290 0.926 0.803
0.710 0.074 0.197
0.710 0.426 0.697
```


(b)
First-principles (GGA-PBE) data for a geometry-optimized ThScRh structure, as listed in Alexandria via LeMat-Bulk.

Computed properties:
Total magnetic moment: 0.00 μB per atom

Cell and atoms, written as POSCAR:
```
ThScRh
1.0
0.000 3.376 3.376
3.376 0.000 3.376
3.376 3.376 0.000
Th Sc Rh
1 1 1
Direct
0.000 0.000 0.000
0.500 0.500 0.500
0.750 0.750 0.750
```


Which of them is most stable? Easy: (a).


(a)
First-principles (GGA-PBE) data for a geometry-optimized ThScRh structure, as listed in Alexandria via LeMat-Bulk.

Computed properties:
Total magnetic moment: 0.00 μB per atom

Cell and atoms, written as POSCAR:
```
ThScRh
1.0
5.436 0.000 0.000
0.000 4.655 0.000
-1.644 0.000 5.794
Th Sc Rh
2 2 2
Direct
0.081 0.250 0.274
0.919 0.750 0.726
0.470 0.250 0.827
0.530 0.750 0.173
0.360 0.750 0.587
0.640 0.250 0.413
```


(b)
First-principles (GGA-PBE) data for a geometry-optimized ThScRh structure, as listed in Alexandria via LeMat-Bulk.

Computed properties:
Total magnetic moment: 0.00 μB per atom

Cell and atoms, written as POSCAR:
```
ThScRh
1.0
-1.686 1.686 6.086
1.686 -1.686 6.086
1.686 1.686 -6.086
Th Sc Rh
1 1 1
Direct
0.000 0.000 0.000
0.278 0.278 0.000
0.660 0.660 0.000
```


Which of them is most stable? Easy: (a).


(a)
First-principles (GGA-PBE) data for a geometry-optimized ScTi2Rh structure, as listed in Alexandria via LeMat-Bulk.

Computed properties:
Total magnetic moment: 0.00 μB per atom

Cell and atoms, written as POSCAR:
```
ScTi2Rh
1.0
-3.692 3.692 2.776
3.692 -3.692 2.776
3.692 3.692 -2.776
Sc Ti Rh
2 4 2
Direct
0.000 0.000 0.000
0.750 0.250 0.500
0.178 0.625 0.053
0.375 0.428 0.553
0.572 0.125 0.947
0.875 0.822 0.447
0.250 0.750 0.500
0.500 0.500 0.000
```


(b)
First-principles (GGA-PBE) data for a geometry-optimized ScTi2Rh structure, as listed in Alexandria via LeMat-Bulk.

Computed properties:
Total magnetic moment: 0.00 μB per atom

Cell and atoms, written as POSCAR:
```
ScTi2Rh
1.0
0.000 3.215 3.215
3.215 0.000 3.215
3.215 3.215 0.000
Sc Ti Rh
1 2 1
Direct
0.000 0.000 0.000
0.250 0.250 0.250
0.750 0.750 0.750
0.500 0.500 0.500
```


Which of them is most stable? Easy: (b).


(a)
First-principles (GGA-PBE) data for a geometry-optimized Sc2TiRh structure, as listed in Alexandria via LeMat-Bulk.

Computed properties:
Total magnetic moment: 0.00 μB per atom

Cell and atoms, written as POSCAR:
```
Sc2TiRh
1.0
3.212 0.000 0.000
0.000 3.212 0.000
0.000 0.000 7.252
Sc Ti Rh
2 1 1
Direct
0.000 0.000 0.223
0.000 0.000 0.777
0.500 0.500 0.500
0.500 0.500 0.000
```


(b)
First-principles (GGA-PBE) data for a geometry-optimized Sc2TiRh structure, as listed in Alexandria via LeMat-Bulk.

Computed properties:
Total magnetic moment: 0.40 μB per atom

Cell and atoms, written as POSCAR:
```
Sc2TiRh
1.0
1.555 0.898 9.522
-1.555 0.898 9.522
0.000 -1.796 9.522
Sc Ti Rh
2 1 1
Direct
0.097 0.097 0.097
0.903 0.903 0.903
0.000 0.000 0.000
0.500 0.500 0.500
```


Which of them is most stable? Easy: (a).